Record 1
# CoAg2Cl GGA-PBEsol relaxed
data_CoAg2Cl
_cell_length_a 4.532
_cell_length_b 4.532
_cell_length_c 4.532
_cell_angle_alpha 60.00
_cell_angle_beta 60.00
_cell_angle_gamma 60.00
_symmetry_space_group_name_H-M 'P 1'
_symmetry_Int_Tables_number 1
_symmetry_space_group_name_Hall 'P 1'
loop_
_atom_site_label
_atom_site_fract_x
_atom_site_fract_y
_atom_site_fract_z
Co1 0.500 0.500 0.500
Ag1 0.250 0.250 0.250
Ag2 0.750 0.750 0.750
Cl1 0.000 0.000 0.000
# total magnetization = 1.8 μB/cell
# energy relative to the elements, uncorrected = 644.0 meV/atom
# calculated total energy = -13.79 eV per cell


Record 2
# LiBe2W GGA-PBEsol relaxed
data_LiBe2W
_cell_length_a 3.760
_cell_length_b 4.073
_cell_length_c 3.760
_cell_angle_alpha 117.49
_cell_angle_beta 90.00
_cell_angle_gamma 117.49
_symmetry_space_group_name_H-M 'P 1'
_symmetry_Int_Tables_number 1
_symmetry_space_group_name_Hall 'P 1'
loop_
_atom_site_label
_atom_site_fract_x
_atom_site_fract_y
_atom_site_fract_z
Be1 0.750 0.500 0.250
Be2 0.250 0.500 0.750
Li1 0.500 0.000 0.500
W1 0.000 0.000 0.000
# total magnetization = 0.0 μB/cell
# calculated formation energy = 0.4768 eV/atom
# polymorph energy (0 for the lowest one) = 255 meV per atom
# calculated total energy = -21.87 eV per cell


Record 3
# CsMn2V2ClO7 GGA-PBEsol relaxed
data_CsMn2V2ClO7
_cell_length_a 5.242
_cell_length_b 5.449
_cell_length_c 14.763
_cell_angle_alpha 90.00
_cell_angle_beta 90.00
_cell_angle_gamma 90.00
_symmetry_space_group_name_H-M 'P 1'
_symmetry_Int_Tables_number 1
_symmetry_space_group_name_Hall 'P 1'
loop_
_atom_site_label
_atom_site_fract_x
_atom_site_fract_y
_atom_site_fract_z
Cs1 0.103 0.043 0.250
Cs2 0.103 0.957 0.750
Mn1 0.076 0.500 0.500
Mn2 0.701 0.000 0.000
Mn3 0.076 0.500 0.000
Mn4 0.701 0.000 0.500
V1 0.599 0.521 0.365
V2 0.599 0.479 0.635
V3 0.599 0.479 0.865
V4 0.599 0.521 0.135
Cl1 0.216 0.000 0.500
Cl2 0.216 0.000 0.000
O1 0.651 0.573 0.750
O2 0.651 0.427 0.250
O3 0.284 0.495 0.612
O4 0.284 0.505 0.388
O5 0.284 0.505 0.112
O6 0.284 0.495 0.888
O7 0.701 0.187 0.882
O8 0.701 0.813 0.382
O9 0.701 0.187 0.618
O10 0.701 0.813 0.118
O11 0.773 0.676 0.933
O12 0.773 0.676 0.567
O13 0.773 0.324 0.067
O14 0.773 0.324 0.433
# total magnetization = 19.9 μB/cell
# energy relative to the elements, uncorrected = -2008.8 meV/atom
# calculated total energy = -209.20 eV per cell


Record 4
# LiLa2Hg GGA-PBEsol relaxed
data_LiLa2Hg
_cell_length_a 3.731
_cell_length_b 3.731
_cell_length_c 7.717
_cell_angle_alpha 90.00
_cell_angle_beta 90.00
_cell_angle_gamma 90.00
_symmetry_space_group_name_H-M 'P 1'
_symmetry_Int_Tables_number 1
_symmetry_space_group_name_Hall 'P 1'
loop_
_atom_site_label
_atom_site_fract_x
_atom_site_fract_y
_atom_site_fract_z
La1 0.000 0.000 0.966
La2 0.500 0.500 0.276
Hg1 0.500 0.500 0.710
Li1 0.000 0.000 0.549
# total magnetization = 0.0 μB/cell
# calculated formation energy = -0.2140 eV/atom
# calculated total energy = -14.08 eV per cell


- Which formula does entry 2 have?
  LiBe2W


What did the third record say?
# CsMn2V2ClO7 GGA-PBEsol relaxed
data_CsMn2V2ClO7
_cell_length_a 5.242
_cell_length_b 5.449
_cell_length_c 14.763
_cell_angle_alpha 90.00
_cell_angle_beta 90.00
_cell_angle_gamma 90.00
_symmetry_space_group_name_H-M 'P 1'
_symmetry_Int_Tables_number 1
_symmetry_space_group_name_Hall 'P 1'
loop_
_atom_site_label
_atom_site_fract_x
_atom_site_fract_y
_atom_site_fract_z
Cs1 0.103 0.043 0.250
Cs2 0.103 0.957 0.750
Mn1 0.076 0.500 0.500
Mn2 0.701 0.000 0.000
Mn3 0.076 0.500 0.000
Mn4 0.701 0.000 0.500
V1 0.599 0.521 0.365
V2 0.599 0.479 0.635
V3 0.599 0.479 0.865
V4 0.599 0.521 0.135
Cl1 0.216 0.000 0.500
Cl2 0.216 0.000 0.000
O1 0.651 0.573 0.750
O2 0.651 0.427 0.250
O3 0.284 0.495 0.612
O4 0.284 0.505 0.388
O5 0.284 0.505 0.112
O6 0.284 0.495 0.888
O7 0.701 0.187 0.882
O8 0.701 0.813 0.382
O9 0.701 0.187 0.618
O10 0.701 0.813 0.118
O11 0.773 0.676 0.933
O12 0.773 0.676 0.567
O13 0.773 0.324 0.067
O14 0.773 0.324 0.433
# total magnetization = 19.9 μB/cell
# energy relative to the elements, uncorrected = -2008.8 meV/atom
# calculated total energy = -209.20 eV per cell


- What is the formula in the third record?
  CsMn2V2ClO7


- Which of these has the lowest calculated total energy?
  CsMn2V2ClO7